No. 1
InAg3Pt | PBE-GGA | relaxed

Unit cell a=5.137 b=5.137 c=5.137 alpha=90.00 beta=90.00 gamma=90.00
Space group Pm-3m (No. 221)
Asymmetric unit:
In 0.000 0.000 0.000 x1
Ag 0.000 0.500 0.500 x3
Pt 0.500 0.500 0.500 x1

The value obtained for the formation energy is 2.87 eV per formula unit. The energy above the lowest structure with this stoichiometry comes out at 0.00 eV per formula unit. The calculation puts the calculated volume at 135.6 Å³/f.u.

=====

No. 2
LiHfNbMo | PBE-GGA | relaxed

Unit cell a=6.517 b=6.517 c=6.517 alpha=90.00 beta=90.00 gamma=90.00
Space group F-43m (No. 216)
Asymmetric unit:
Li 0.000 0.000 0.000 x4
Hf 0.250 0.250 0.750 x4
Nb 0.250 0.250 0.250 x4
Mo 0.000 0.000 0.500 x4

The value obtained for the formation energy is 0.39 eV per formula unit. The calculation puts the calculated volume at 69.2 Å³/f.u.

=====

No. 3
SrPrNd2S4 | PBE-GGA | relaxed

Unit cell a=7.146 b=4.096 c=7.151 alpha=90.00 beta=109.11 gamma=90.00
Space group P2/m (No. 10)
Asymmetric unit:
Sr 0.000 0.000 0.000 x1
Pr 0.000 0.500 0.500 x1
Nd 0.500 0.000 0.500 x1
Nd 0.500 0.500 0.000 x1
S 0.254 0.000 0.750 x2
S 0.256 0.500 0.254 x2

As for the uncorrected formation energy: -2029 meV per atom. The calculation puts the calculated volume at 197.8 Å³/f.u.

=====

No. 4
Li3Mg7 | PBE-GGA | relaxed

Unit cell a=9.1116 b=9.1116 c=6.0695 alpha=90.00 beta=90.00 gamma=120.00
Space group P6_3mc (No. 186)
Asymmetric unit:
Li 0.2153 0.4306 0.0000 x6
Mg 0.0423 0.5211 0.6984 x6
Mg 0.1219 0.2437 0.4565 x6
Mg 0.3333 0.6667 0.3706 x2

The value obtained for the formation energy is 0.24 eV per formula unit. The energy above the lowest structure with this stoichiometry comes out at 0.65 eV per formula unit. The calculation puts the calculated volume at 218.2 Å³/f.u.

=====

No. 5
FeAg2 | PBE-GGA | relaxed

Unit cell a=6.781 b=2.870 c=9.983 alpha=90.00 beta=90.00 gamma=90.00
Space group Pnma (No. 62)
Asymmetric unit:
Fe 0.069 0.250 0.082 x4
Ag 0.137 0.250 0.723 x4
Ag 0.158 0.250 0.431 x4

The value obtained for the formation energy is 0.85 eV per formula unit. The calculation puts the calculated volume at 48.6 Å³/f.u.

=====

No. 6
SiMoWN2 | PBE-GGA | relaxed

Unit cell a=3.825 b=3.825 c=5.265 alpha=90.00 beta=90.00 gamma=90.00
Space group P4/mmm (No. 123)
Asymmetric unit:
Si 0.000 0.000 0.000 x1
Mo 0.000 0.000 0.500 x1
W 0.500 0.500 0.000 x1
N 0.000 0.500 0.500 x2

As for the uncorrected formation energy: 1266 meV per atom. The calculation puts the calculated volume at 77.1 Å³/f.u.

=====

No. 7
PrEr2Zn2In2 | PBE-GGA | relaxed

Unit cell a=4.7353 b=4.7353 c=27.4933 alpha=90.00 beta=90.00 gamma=120.00
Space group R-3m (No. 166, hexagonal axes)
Asymmetric unit:
Pr 0.0000 0.0000 0.0000 x3
Er 0.0000 0.0000 0.1293 x6
Zn 0.0000 0.0000 0.4087 x6
In 0.0000 0.0000 0.2586 x6

The value obtained for the formation energy is -1.99 eV per formula unit. The calculation puts the calculated volume at 178.0 Å³/f.u.

=====

No. 8
Ac3Cd2Co | PBE-GGA | relaxed

Unit cell a=17.146 b=5.563 c=8.039 alpha=90.00 beta=90.00 gamma=90.00
Space group Cmcm (No. 63)
Asymmetric unit:
Ac 0.000 0.000 0.250 x4
Ac 0.127 0.500 0.000 x8
Cd 0.204 0.000 0.250 x8
Co 0.000 0.500 0.250 x4

The value obtained for the formation energy is -1.00 eV per formula unit. The calculation puts the calculated volume at 191.7 Å³/f.u.

=====

Among the records above, which one has the highest calculated volume? Li3Mg7

=====

calculated volume of number 4 (Li3Mg7)? 218.2 Å³/f.u.

=====

Look up the calculated volume of the seventh one. 178.0 Å³/f.u.

=====

calculated volume of number 5 (FeAg2)? 48.6 Å³/f.u.